No. 1
Entry from the Alexandria database: a relaxed structure of MgCuOs2 (PBE-GGA).

As for the symmetry: I4/mmm. As for the energy of formation: 1.710 eV/f.u. As for the spin magnetization: 0.00 μB per formula unit. The calculated volume is 58.4 Å³/f.u. As for the density of states at the Fermi level: 0.938 states/eV per atom.

Structure (POSCAR):
```
MgCuOs2
1.0
-2.794 -3.464 2.300
1.164 -4.799 -0.841
2.448 4.170 1.311
Cu Mg Os
1 1 2
direct
0.250 0.750 0.500
0.750 0.250 0.500
0.000 0.000 0.000
0.500 0.500 0.000
```


No. 2
Entry from the Alexandria database: a relaxed structure of Mg2CuOs (PBE-GGA).

As for the symmetry: Fm-3m. As for the energy of formation: 0.893 eV/f.u. As for the spin magnetization: 0.00 μB per formula unit. The calculated volume is 61.2 Å³/f.u. As for the density of states at the Fermi level: 0.485 states/eV per atom.

Structure (POSCAR):
```
Mg2CuOs
1.0
0.000 3.128 3.128
3.128 0.000 3.128
3.128 3.128 0.000
Mg Os Cu
2 1 1
direct
0.250 0.250 0.250
0.750 0.750 0.750
0.500 0.500 0.500
0.000 0.000 0.000
```


No. 3
Entry from the Alexandria database: a relaxed structure of MgCuOs2 (PBE-GGA).

As for the symmetry: P4/mmm. As for the energy of formation: 1.847 eV/f.u. As for the spin magnetization: 0.00 μB per formula unit. The calculated volume is 57.9 Å³/f.u. As for the density of states at the Fermi level: 1.113 states/eV per atom.

Structure (POSCAR):
```
MgCuOs2
1.0
-1.075 -2.345 0.621
-0.317 -0.538 -2.579
7.458 -3.470 -0.192
Cu Mg Os
1 1 2
direct
0.500 0.500 0.250
0.500 0.500 0.750
0.000 0.000 0.015
0.000 0.000 0.485
```


No. 4
Entry from the Alexandria database: a relaxed structure of MgCu2Os (PBE-GGA).

As for the symmetry: Immm. As for the energy of formation: 1.184 eV/f.u. As for the spin magnetization: 0.00 μB per formula unit. The calculated volume is 56.7 Å³/f.u. As for the density of states at the Fermi level: 0.471 states/eV per atom.

Structure (POSCAR):
```
MgCu2Os
1.0
5.303 0.005 0.006
2.638 4.600 -0.006
-3.330 -3.406 2.329
Cu Mg Os
2 1 1
direct
0.007 0.007 0.000
0.493 0.493 0.000
0.750 0.250 0.500
0.250 0.750 0.500
```


No. 5
Entry from the Alexandria database: a relaxed structure of MgCu2Os (PBE-GGA).

As for the symmetry: Cmmm. As for the energy of formation: 0.600 eV/f.u. As for the spin magnetization: 0.00 μB per formula unit. The calculated volume is 54.8 Å³/f.u. As for the density of states at the Fermi level: 0.286 states/eV per atom.

Structure (POSCAR):
```
MgCu2Os
1.0
-0.698 3.804 2.546
0.729 -3.556 2.874
2.644 0.511 -0.041
Cu Mg Os
2 1 1
direct
0.000 0.000 0.000
0.500 0.500 0.000
0.500 0.000 0.500
0.000 0.500 0.500
```


No. 6
Entry from the Alexandria database: a relaxed structure of Mg2CuOs (PBE-GGA).

As for the symmetry: Cmm2. As for the energy of formation: 1.234 eV/f.u. As for the spin magnetization: 0.00 μB per formula unit. The calculated volume is 64.1 Å³/f.u. As for the density of states at the Fermi level: 0.845 states/eV per atom.

Structure (POSCAR):
```
Mg2CuOs
1.0
-2.036 -1.855 0.110
2.451 -1.258 -0.082
0.368 0.132 9.005
Cu Mg Os
1 2 1
direct
0.500 0.500 0.741
0.000 0.000 0.976
0.500 0.500 0.271
0.000 0.000 0.512
```


No. 7
Entry from the Alexandria database: a relaxed structure of Mg2CuOs (PBE-GGA).

As for the symmetry: P4mm. As for the energy of formation: 1.022 eV/f.u. As for the spin magnetization: 0.00 μB per formula unit. The calculated volume is 66.0 Å³/f.u. As for the density of states at the Fermi level: 0.922 states/eV per atom.

Structure (POSCAR):
```
Mg2CuOs
1.0
-1.264 0.147 -2.732
2.551 -1.023 -1.236
-2.382 -6.825 0.735
Cu Mg Os
1 2 1
direct
0.500 0.500 0.728
0.000 0.000 0.951
0.500 0.500 0.290
0.000 0.000 0.531
```


No. 8
Entry from the Alexandria database: a relaxed structure of MgCuOs (PBE-GGA).

As for the symmetry: P3m1. As for the energy of formation: 0.779 eV/f.u. As for the spin magnetization: 0.00 μB per formula unit. The calculated volume is 43.9 Å³/f.u. As for the density of states at the Fermi level: 0.736 states/eV per atom.

Structure (POSCAR):
```
MgCuOs
1.0
2.759 0.000 0.000
-1.379 2.389 0.000
0.000 0.000 6.658
Cu Mg Os
1 1 1
direct
0.000 0.000 0.996
0.667 0.333 0.330
0.333 0.667 0.673
```


No. 9
Entry from the Alexandria database: a relaxed structure of MgCu2Os (PBE-GGA).

As for the symmetry: I-42d. As for the energy of formation: 2.714 eV/f.u. As for the spin magnetization: 0.00 μB per formula unit. The calculated volume is 60.6 Å³/f.u. As for the density of states at the Fermi level: 1.083 states/eV per atom.

Structure (POSCAR):
```
MgCu2Os
1.0
-1.994 -2.970 0.780
2.480 -2.106 -1.678
4.712 -3.489 7.349
Mg Os Cu
2 2 4
direct
0.500 0.500 0.000
0.250 0.750 0.500
0.000 0.000 0.000
0.750 0.250 0.500
0.640 0.125 0.250
0.110 0.625 0.250
0.375 0.360 0.750
0.875 0.890 0.750
```


No. 10
Entry from the Alexandria database: a relaxed structure of Mg2CuOs (PBE-GGA).

As for the symmetry: I-4m2. As for the energy of formation: 0.959 eV/f.u. As for the spin magnetization: 0.46 μB per formula unit. The calculated volume is 61.5 Å³/f.u. As for the density of states at the Fermi level: 0.824 states/eV per atom.

Structure (POSCAR):
```
Mg2CuOs
1.0
4.898 0.020 0.000
1.779 4.564 0.000
-3.338 -2.292 2.756
Cu Mg Os
1 2 1
direct
0.750 0.250 0.500
0.000 0.000 0.000
0.250 0.750 0.500
0.500 0.500 0.000
```


No. 11
Entry from the Alexandria database: a relaxed structure of MgCu2Os (PBE-GGA).

As for the symmetry: P4/mmm. As for the energy of formation: 0.716 eV/f.u. As for the spin magnetization: 0.00 μB per formula unit. The calculated volume is 54.6 Å³/f.u. As for the density of states at the Fermi level: 0.724 states/eV per atom.

Structure (POSCAR):
```
MgCu2Os
1.0
-1.737 3.385 2.059
-0.329 -2.362 3.605
2.665 0.872 0.814
Cu Mg Os
2 1 1
direct
0.000 0.000 0.000
0.500 0.500 0.000
0.500 0.000 0.500
0.000 0.500 0.500
```


No. 12
Entry from the Alexandria database: a relaxed structure of Mg2CuOs (PBE-GGA).

As for the symmetry: Imm2. As for the energy of formation: 0.658 eV/f.u. As for the spin magnetization: 0.00 μB per formula unit. The calculated volume is 63.1 Å³/f.u. As for the density of states at the Fermi level: 0.416 states/eV per atom.

Structure (POSCAR):
```
Mg2CuOs
1.0
-3.318 -3.813 2.131
1.322 -2.583 4.655
-1.171 4.652 -2.661
Cu Mg Os
1 2 1
direct
0.262 0.762 0.500
0.020 0.020 0.000
0.736 0.236 0.500
0.482 0.482 0.000
```